The following is a DFT calculation (PBE) of an optimized crystal structure of PmPrPt2.

Results
formation energy from the elements: -1.038 eV/atom
mass density: 11.9 g cm⁻³
density of states at the Fermi level: 16.9 states/eV per cell

Lattice parameters (Å, degrees): 7.226 7.226 7.226 90.00 90.00 90.00
Space group Fm-3m (No. 225)
Asymmetric unit:
Pm: 0.000 0.000 0.000
Pr: 0.000 0.000 0.500
Pt: 0.250 0.250 0.250

***

The following is a DFT calculation (PBE) of an optimized crystal structure of Pm3Pr3Pt4.

Results
formation energy from the elements: -0.919 eV/atom
mass density: 10.5 g cm⁻³
density of states at the Fermi level: 16.3 states/eV per cell

Lattice parameters (Å, degrees): 4.035 11.327 11.386 90.00 90.00 90.00
Space group Amm2 (No. 38)
Asymmetric unit:
Pm: 0.000 0.000 0.000
Pm: 0.000 0.163 0.664
Pr: 0.000 0.000 0.326
Pr: 0.500 0.250 0.414
Pt: 0.500 0.000 0.534
Pt: 0.500 0.000 0.796
Pt: 0.500 0.133 0.161